This record from the Alexandria database describes LiNi2Rh at its PBEsol-relaxed geometry. The functional is SCAN.

Cell: 3.5420 3.5420 4.3618 Å, 113.96 113.96 90.00°
Fractional coordinates of all 4 atoms:
Ni 0.7500 0.2500 0.5000
Ni 0.2500 0.7500 0.5000
Rh 0.5000 0.5000 0.0000
Li 0.0000 0.0000 0.0000

Computed properties:
* formation energy: 0.007 eV per atom
* E_tot: -17.120 eV per atom

This record from the Alexandria database describes SbTeI2N at its PBEsol-relaxed geometry. The functional is SCAN.

Cell: 5.6938 5.9564 5.9564 Å, 90.00 90.00 90.00°
Fractional coordinates of all 5 atoms:
I 0.0000 0.0000 0.5000
I 0.0000 0.5000 0.0000
Sb 0.0000 0.0000 0.0000
Te 0.5000 0.0000 0.0000
N 0.5000 0.5000 0.5000

Computed properties:
* relative energy among the computed polymorphs: 0.000 eV/atom
* E_tot: -30.408 eV per atom
* uncorrected formation energy: 1049 meV per atom

This record from the Alexandria database describes TmScHg2 at its PBEsol-relaxed geometry. The functional is SCAN.

Cell: 5.0046 5.0046 5.0046 Å, 60.00 60.00 60.00°
Fractional coordinates of all 4 atoms:
Sc 0.0000 0.0000 0.0000
Tm 0.5000 0.5000 0.5000
Hg 0.7500 0.7500 0.7500
Hg 0.2500 0.2500 0.2500

Computed properties:
* formation energy: -0.683 eV per atom
* E_tot: -51.283 eV per atom

Repeat the third record exactly.
This record from the Alexandria database describes TmScHg2 at its PBEsol-relaxed geometry. The functional is SCAN.

Cell: 5.0046 5.0046 5.0046 Å, 60.00 60.00 60.00°
Fractional coordinates of all 4 atoms:
Sc 0.0000 0.0000 0.0000
Tm 0.5000 0.5000 0.5000
Hg 0.7500 0.7500 0.7500
Hg 0.2500 0.2500 0.2500

Computed properties:
* formation energy: -0.683 eV per atom
* E_tot: -51.283 eV per atom

Copy entry 2 word for word.
This record from the Alexandria database describes SbTeI2N at its PBEsol-relaxed geometry. The functional is SCAN.

Cell: 5.6938 5.9564 5.9564 Å, 90.00 90.00 90.00°
Fractional coordinates of all 5 atoms:
I 0.0000 0.0000 0.5000
I 0.0000 0.5000 0.0000
Sb 0.0000 0.0000 0.0000
Te 0.5000 0.0000 0.0000
N 0.5000 0.5000 0.5000

Computed properties:
* relative energy among the computed polymorphs: 0.000 eV/atom
* E_tot: -30.408 eV per atom
* uncorrected formation energy: 1049 meV per atom

Q: Number 1 is which compound?
A: LiNi2Rh